[1]
DFT (PBE) results for KCo2Ru after structural relaxation.

Properties
* crystal system: tetragonal
* formation energy: 0.76 eV/atom
* energy: -5.38 eV per atom
* distance to the lowest polymorph of the same formula: 73 meV per atom

abc: 2.7800 2.7800 8.4495
angles: 90.00 90.00 90.01
Fractional positions:
Co 0.0000 0.0000 0.5683
Co 0.0000 0.0000 0.9317
Ru 0.5000 0.5000 0.7500
K 0.5000 0.5000 0.2500


[2]
DFT (PBE) results for NdSm2Ho2 after structural relaxation.

Properties
* crystal system: monoclinic
* formation energy: 0.27 eV/atom
* energy: -4.40 eV per atom
* distance to the lowest polymorph of the same formula: 0 meV per atom

abc: 8.9907 8.9907 6.0446
angles: 117.15 117.15 97.77
Fractional positions:
Sm 0.7565 0.6101 0.4813
Sm 0.2435 0.3899 0.5187
Sm 0.6101 0.7565 0.9813
Sm 0.3899 0.2435 0.0187
Ho 0.3327 0.6673 0.2500
Ho 0.2010 0.7990 0.7500
Ho 0.7990 0.2010 0.2500
Ho 0.6673 0.3327 0.7500
Nd 0.0692 0.9308 0.2500
Nd 0.9308 0.0692 0.7500


[3]
DFT (PBE) results for AcSbAu5 after structural relaxation.

Properties
* crystal system: orthorhombic
* energy: -3.95 eV per atom
* uncorrected formation energy: -437 meV per atom

abc: 5.6547 9.8004 11.3749
angles: 90.00 90.00 90.00
Fractional positions:
Au 0.4978 0.5601 0.7955
Au 0.0022 0.0601 0.7045
Au 0.0022 0.5601 0.7955
Au 0.9978 0.4399 0.2045
Au 0.7500 0.0545 0.9246
Au 0.7500 0.9191 0.5123
Au 0.2500 0.4455 0.4246
Au 0.7500 0.5545 0.5754
Au 0.2500 0.6931 0.2461
Au 0.7500 0.4191 0.9877
Au 0.2500 0.1931 0.2539
Au 0.2500 0.0809 0.4877
Au 0.7500 0.3069 0.7539
Au 0.5022 0.4399 0.2045
Au 0.7500 0.8069 0.7461
Au 0.9978 0.9399 0.2955
Au 0.5022 0.9399 0.2955
Au 0.4978 0.0601 0.7045
Au 0.2500 0.5809 0.0123
Au 0.2500 0.9455 0.0754
Sb 0.2500 0.3454 0.6462
Sb 0.7500 0.1546 0.1462
Sb 0.7500 0.6546 0.3538
Sb 0.2500 0.8454 0.8538
Ac 0.2500 0.2515 0.9389
Ac 0.7500 0.2485 0.4389
Ac 0.2500 0.7515 0.5611
Ac 0.7500 0.7485 0.0611


[4]
DFT (PBE) results for Ac2BeB2Os2 after structural relaxation.

Properties
* crystal system: monoclinic
* formation energy: -0.15 eV/atom
* energy: -6.97 eV per atom

abc: 4.1951 6.2113 6.0700
angles: 73.80 69.78 70.26
Fractional positions:
Ac 0.4269 0.8149 0.3313
Ac 0.5731 0.1851 0.6687
B 0.2522 0.3334 0.1622
B 0.7478 0.6666 0.8378
Os 0.2177 0.6551 0.9095
Os 0.7823 0.3449 0.0905
Be 0.0000 0.0000 0.0000


[5]
DFT (PBE) results for ZrBe3Co2 after structural relaxation.

Properties
* crystal system: orthorhombic
* formation energy: -0.29 eV/atom
* energy: -5.94 eV per atom

abc: 5.0292 5.2177 5.2177
angles: 101.27 90.00 90.00
Fractional positions:
Co 0.5000 0.2119 0.7881
Co 0.5000 0.7881 0.2119
Co 0.0000 0.2119 0.7881
Co 0.0000 0.7881 0.2119
Zr 0.2500 0.3362 0.3362
Zr 0.7500 0.6638 0.6638
Be 0.2500 0.5484 0.8852
Be 0.2500 0.8852 0.5484
Be 0.7500 0.1148 0.4516
Be 0.7500 0.0520 0.0520
Be 0.7500 0.4516 0.1148
Be 0.2500 0.9480 0.9480


[6]
DFT (PBE) results for Tb7PrMg2 after structural relaxation.

Properties
* crystal system: orthorhombic
* formation energy: 0.54 eV/atom
* energy: -3.50 eV per atom

abc: 5.4473 9.2680 9.2680
angles: 125.93 90.00 90.00
Fractional positions:
Pr 0.0000 0.0000 0.0000
Tb 0.0000 0.3923 0.6077
Tb 0.5000 0.5000 0.5000
Tb 0.5000 0.7024 0.9205
Tb 0.5000 0.2976 0.0795
Tb 0.0000 0.6077 0.3923
Tb 0.5000 0.9205 0.7024
Tb 0.5000 0.0795 0.2976
Mg 0.5000 0.7225 0.2775
Mg 0.5000 0.2775 0.7225


[7]
DFT (PBE) results for Pm2YGa after structural relaxation.

Properties
* crystal system: orthorhombic
* formation energy: -0.27 eV/atom
* energy: -5.02 eV per atom
* distance to the lowest polymorph of the same formula: 0 meV per atom

abc: 3.7164 6.6573 9.9417
angles: 90.00 90.00 106.21
Fractional positions:
Y 0.0564 0.1127 0.7500
Y 0.9436 0.8873 0.2500
Pm 0.6364 0.2728 0.4511
Pm 0.3636 0.7272 0.9511
Pm 0.3636 0.7272 0.5489
Pm 0.6364 0.2728 0.0489
Ga 0.2571 0.5142 0.2500
Ga 0.7429 0.4858 0.7500


[8]
DFT (PBE) results for CaPr3 after structural relaxation.

Properties
* crystal system: orthorhombic
* formation energy: 0.06 eV/atom
* energy: -4.03 eV per atom

abc: 3.7464 6.0373 6.5604
angles: 90.00 90.00 90.00
Fractional positions:
Ca 0.0000 0.5000 0.3282
Pr 0.5000 0.0000 0.5113
Pr 0.0000 0.0000 0.9951
Pr 0.5000 0.5000 0.8321


[9]
DFT (PBE) results for KNaAg2F4 after structural relaxation.

Properties
* crystal system: monoclinic
* energy: -3.78 eV per atom
* uncorrected formation energy: -1827 meV per atom

abc: 7.2017 7.2017 7.1418
angles: 115.40 115.40 99.38
Fractional positions:
F 0.6977 0.2770 0.5131
F 0.1944 0.2131 0.4457
F 0.2869 0.3056 0.0543
F 0.2230 0.8023 0.9869
F 0.7770 0.1977 0.0131
F 0.7131 0.6944 0.9457
F 0.8056 0.7869 0.5543
F 0.3023 0.7230 0.4869
Ag 0.5000 0.0000 0.5000
Ag 0.5000 0.0000 0.0000
Ag 0.0000 0.0000 0.5000
Ag 0.5000 0.5000 0.0000
Na 0.0000 0.0000 0.0000
Na 0.5000 0.5000 0.5000
K 0.0000 0.5000 0.5000
K 0.0000 0.5000 0.0000


[10]
DFT (PBE) results for SrIn2GeN after structural relaxation.

Properties
* crystal system: tetragonal
* energy: -3.61 eV per atom
* uncorrected formation energy: 407 meV per atom

abc: 5.8367 3.8334 5.8367
angles: 90.00 90.00 90.00
Fractional positions:
N 0.0000 0.5000 0.0000
Ge 0.0000 0.0000 0.0000
In 0.5000 0.0000 0.0000
In 0.0000 0.0000 0.5000
Sr 0.5000 0.5000 0.5000


What did the seventh record say?
DFT (PBE) results for Pm2YGa after structural relaxation.

Properties
* crystal system: orthorhombic
* formation energy: -0.27 eV/atom
* energy: -5.02 eV per atom
* distance to the lowest polymorph of the same formula: 0 meV per atom

abc: 3.7164 6.6573 9.9417
angles: 90.00 90.00 106.21
Fractional positions:
Y 0.0564 0.1127 0.7500
Y 0.9436 0.8873 0.2500
Pm 0.6364 0.2728 0.4511
Pm 0.3636 0.7272 0.9511
Pm 0.3636 0.7272 0.5489
Pm 0.6364 0.2728 0.0489
Ga 0.2571 0.5142 0.2500
Ga 0.7429 0.4858 0.7500


Please write out number 10 again, unchanged.
DFT (PBE) results for SrIn2GeN after structural relaxation.

Properties
* crystal system: tetragonal
* energy: -3.61 eV per atom
* uncorrected formation energy: 407 meV per atom

abc: 5.8367 3.8334 5.8367
angles: 90.00 90.00 90.00
Fractional positions:
N 0.0000 0.5000 0.0000
Ge 0.0000 0.0000 0.0000
In 0.5000 0.0000 0.0000
In 0.0000 0.0000 0.5000
Sr 0.5000 0.5000 0.5000